[1]
Here is a relaxed structure of AlRe2Rh2 from Alexandria. Energies are from GGA-PBE.

Lattice parameters (Å, degrees): 7.0748 7.0748 7.0748 151.21 151.21 41.17
With the nearest neighbours (Å) after each atom.
Sites, in units of the cell vectors:
Al1 0.0000 0.0000 0.0000  8 Rh 2.80
Re1 0.2500 0.7500 0.5000  4 Re 2.49, 4 Rh 2.69
Re2 0.7500 0.2500 0.5000  4 Re 2.49, 4 Rh 2.69
Rh1 0.4036 0.4036 0.0000  1 Rh 2.55, 4 Re 2.69, 4 Al 2.80
Rh2 0.5964 0.5964 0.0000  1 Rh 2.55, 4 Re 2.69, 4 Al 2.80

Summary:
Symmetry: No. 139
M_tot (μB/cell): 0.00
Energy relative to the lowest polymorph listed for this composition (meV per atom): 0.0
ΔH_f (0 K) (eV per atom): 0.16

[2]
Here is a relaxed structure of Al2ReRh2 from Alexandria. Energies are from GGA-PBE.

Lattice parameters (Å, degrees): 7.1112 7.1112 2.7940 90.00 90.00 90.00
With the nearest neighbours (Å) after each atom.
Sites, in units of the cell vectors:
Al1 0.1366 0.3634 0.0000  6 Rh 2.46-2.55, 1 Al 2.75
Al2 0.3634 0.8634 0.0000  6 Rh 2.46-2.55, 1 Al 2.75
Al3 0.6366 0.1366 0.0000  6 Rh 2.46-2.55, 1 Al 2.75
Al4 0.8634 0.6366 0.0000  6 Rh 2.46-2.55, 1 Al 2.75
Re1 0.0000 0.0000 0.0000  4 Al 2.76, 2 Re 2.79, 8 Rh 3.01
Re2 0.5000 0.5000 0.0000  4 Al 2.76, 2 Re 2.79, 8 Rh 3.01
Rh1 0.1625 0.6625 0.5000  6 Al 2.46-2.55
Rh2 0.3375 0.1625 0.5000  6 Al 2.46-2.55
Rh3 0.6625 0.8375 0.5000  6 Al 2.46-2.55
Rh4 0.8375 0.3375 0.5000  6 Al 2.46-2.55

Summary:
Symmetry: No. 127
M_tot (μB/cell): 0.00
ΔH_f (0 K) (eV per atom): -0.46

[3]
Here is a relaxed structure of AlReRh3 from Alexandria. Energies are from GGA-PBE.

Lattice parameters (Å, degrees): 4.7000 4.7000 4.7000 90.00 90.00 90.00
With the nearest neighbours (Å) after each atom.
Sites, in units of the cell vectors:
Al1 0.0000 0.0000 0.0000  12 Rh 3.32
Re1 0.5000 0.5000 0.5000  6 Rh 2.35
Rh1 0.0000 0.5000 0.5000  2 Re 2.35
Rh2 0.5000 0.0000 0.5000  2 Re 2.35
Rh3 0.5000 0.5000 0.0000  2 Re 2.35

Summary:
Symmetry: No. 221
M_tot (μB/cell): 0.00
Energy relative to the lowest polymorph listed for this composition (meV per atom): 149.2
ΔH_f (0 K) (eV per atom): 1.12

[4]
Here is a relaxed structure of AlReRh4 from Alexandria. Energies are from GGA-PBE.

Lattice parameters (Å, degrees): 5.0510 5.0510 5.0510 60.00 60.00 60.00
With the nearest neighbours (Å) after each atom.
Sites, in units of the cell vectors:
Al1 0.0000 0.0000 0.0000  12 Rh 2.96, 4 Re 3.09
Re1 0.7500 0.7500 0.7500  12 Rh 2.96, 4 Al 3.09
Rh1 0.3748 0.3748 0.3748  6 Rh 2.52-2.53
Rh2 0.3748 0.3748 0.8755  6 Rh 2.52-2.53
Rh3 0.3748 0.8755 0.3748  6 Rh 2.52-2.53
Rh4 0.8755 0.3748 0.3748  6 Rh 2.52-2.53

Summary:
Symmetry: No. 216
M_tot (μB/cell): 0.00
ΔH_f (0 K) (eV per atom): 0.27

[5]
Here is a relaxed structure of Al8ReRh2 from Alexandria. Energies are from GGA-PBE.

Lattice parameters (Å, degrees): 6.8898 6.8898 6.8898 145.07 115.07 75.90
With the nearest neighbours (Å) after each atom.
Sites, in units of the cell vectors:
Al1 0.1225 0.3411 0.7814  3 Rh 2.57-2.67, 3 Al 2.70-2.72, 1 Re 2.70
Al2 0.1404 0.1404 0.0000  2 Re 2.57, 2 Rh 2.69, 4 Al 2.72-2.76
Al3 0.3116 0.0000 0.3116  2 Rh 2.60, 7 Al 2.70-2.79
Al4 0.4402 0.6589 0.7814  3 Rh 2.57-2.67, 3 Al 2.70-2.72, 1 Re 2.70
Al5 0.5598 0.3411 0.2186  3 Rh 2.57-2.67, 3 Al 2.70-2.72, 1 Re 2.70
Al6 0.6884 0.0000 0.6884  2 Rh 2.60, 7 Al 2.70-2.79
Al7 0.8596 0.8596 0.0000  2 Re 2.57, 2 Rh 2.69, 4 Al 2.72-2.76
Al8 0.8775 0.6589 0.2186  3 Rh 2.57-2.67, 3 Al 2.70-2.72, 1 Re 2.70
Re1 0.0000 0.5000 0.5000  8 Al 2.57-2.70
Rh1 0.2982 0.7982 0.5000  10 Al 2.57-2.69
Rh2 0.7018 0.2018 0.5000  10 Al 2.57-2.69

Summary:
Symmetry: No. 71
M_tot (μB/cell): 0.00
ΔH_f (0 K) (eV per atom): -0.55

[6]
Here is a relaxed structure of AlReRh2 from Alexandria. Energies are from GGA-PBE.

Lattice parameters (Å, degrees): 2.7749 3.7816 5.4431 90.00 90.00 90.00
With the nearest neighbours (Å) after each atom.
Sites, in units of the cell vectors:
Al1 0.0000 0.0000 0.0000  8 Rh 2.72, 2 Re 2.72, 2 Al 2.77
Re1 0.0000 0.0000 0.5000  8 Rh 2.71, 2 Al 2.72, 2 Re 2.77
Rh1 0.5000 0.5000 0.2519  4 Rh 2.70-2.77, 4 Re 2.71, 4 Al 2.72
Rh2 0.5000 0.5000 0.7481  4 Rh 2.70-2.77, 4 Re 2.71, 4 Al 2.72

Summary:
Symmetry: No. 47
M_tot (μB/cell): 0.00
ΔH_f (0 K) (eV per atom): -0.38

[7]
Here is a relaxed structure of AlRe3Rh from Alexandria. Energies are from GGA-PBE.

Lattice parameters (Å, degrees): 4.6560 4.6560 4.6560 90.00 90.00 90.00
With the nearest neighbours (Å) after each atom.
Sites, in units of the cell vectors:
Al1 0.0000 0.0000 0.0000  12 Re 3.29
Re1 0.0000 0.5000 0.5000  2 Rh 2.33
Re2 0.5000 0.0000 0.5000  2 Rh 2.33
Re3 0.5000 0.5000 0.0000  2 Rh 2.33
Rh1 0.5000 0.5000 0.5000  6 Re 2.33

Summary:
Symmetry: No. 221
M_tot (μB/cell): 0.00
Energy relative to the lowest polymorph listed for this composition (meV per atom): 416.3
ΔH_f (0 K) (eV per atom): 2.20

[8]
Here is a relaxed structure of AlReRh2 from Alexandria. Energies are from GGA-PBE.

Lattice parameters (Å, degrees): 8.7726 8.7726 8.7726 18.25 18.25 18.25
With the nearest neighbours (Å) after each atom.
Sites, in units of the cell vectors:
Al1 0.0000 0.0000 0.0000  3 Rh 2.54, 3 Re 2.75, 6 Al 2.78
Re1 0.7530 0.7530 0.7530  3 Rh 2.64, 3 Al 2.75, 6 Re 2.78
Rh1 0.2573 0.2573 0.2573  3 Al 2.54, 9 Rh 2.78-2.83
Rh2 0.5004 0.5004 0.5004  3 Re 2.64, 9 Rh 2.78-2.83

Summary:
Symmetry: No. 160
M_tot (μB/cell): 0.21
ΔH_f (0 K) (eV per atom): -0.24

[9]
Here is a relaxed structure of AlReRh2 from Alexandria. Energies are from GGA-PBE.

Lattice parameters (Å, degrees): 2.7526 4.4092 4.7098 90.00 90.00 90.00
With the nearest neighbours (Å) after each atom.
Sites, in units of the cell vectors:
Al1 0.0000 0.0000 0.0000  8 Rh 2.64-2.81, 2 Al 2.75, 2 Re 2.80
Re1 0.0000 0.5000 0.6335  8 Rh 2.66-2.79, 2 Re 2.75, 2 Al 2.80
Rh1 0.5000 0.0000 0.4790  4 Al 2.64-2.81, 4 Re 2.70, 4 Rh 2.75-2.79
Rh2 0.5000 0.5000 0.1176  4 Al 2.66, 4 Re 2.66-2.79, 4 Rh 2.75-2.79

Summary:
Symmetry: No. 25
M_tot (μB/cell): 0.00
ΔH_f (0 K) (eV per atom): -0.36

[10]
Here is a relaxed structure of AlReRh from Alexandria. Energies are from GGA-PBE.

Lattice parameters (Å, degrees): 2.7763 2.7763 6.4939 90.00 90.00 120.00
With the nearest neighbours (Å) after each atom.
Sites, in units of the cell vectors:
Al1 0.0000 0.0000 0.0000  3 Rh 2.62, 3 Re 2.74, 6 Al 2.78
Re1 0.6667 0.3333 0.3428  3 Rh 2.72, 3 Al 2.74, 6 Re 2.78
Rh1 0.3333 0.6667 0.6808  3 Al 2.62, 3 Re 2.72, 6 Rh 2.78

Summary:
Symmetry: No. 156
M_tot (μB/cell): 0.00
Energy relative to the lowest polymorph listed for this composition (meV per atom): 83.7
ΔH_f (0 K) (eV per atom): -0.27

[11]
Here is a relaxed structure of AlRe2Rh2 from Alexandria. Energies are from GGA-PBE.

Lattice parameters (Å, degrees): 7.6035 7.6035 2.7426 90.00 90.00 90.00
With the nearest neighbours (Å) after each atom.
Sites, in units of the cell vectors:
Al1 0.0000 0.0000 0.0000  2 Al 2.74, 4 Re 3.02
Al2 0.5000 0.5000 0.0000  2 Al 2.74, 4 Re 3.02
Re1 0.1222 0.3778 0.0000  6 Rh 2.63, 3 Re 2.63-2.74
Re2 0.3778 0.8778 0.0000  6 Rh 2.63, 3 Re 2.63-2.74
Re3 0.6222 0.1222 0.0000  6 Rh 2.63, 3 Re 2.63-2.74
Re4 0.8778 0.6222 0.0000  6 Rh 2.63, 3 Re 2.63-2.74
Rh1 0.1693 0.6693 0.5000  6 Re 2.63, 2 Rh 2.74
Rh2 0.3307 0.1693 0.5000  6 Re 2.63, 2 Rh 2.74
Rh3 0.6693 0.8307 0.5000  6 Re 2.63, 2 Rh 2.74
Rh4 0.8307 0.3307 0.5000  6 Re 2.63, 2 Rh 2.74

Summary:
Symmetry: No. 127
M_tot (μB/cell): 0.00
Energy relative to the lowest polymorph listed for this composition (meV per atom): 37.3
ΔH_f (0 K) (eV per atom): 0.20

[12]
Here is a relaxed structure of AlRe2Rh2 from Alexandria. Energies are from GGA-PBE.

Lattice parameters (Å, degrees): 6.3142 6.3142 6.3142 144.54 144.54 51.02
With the nearest neighbours (Å) after each atom.
Sites, in units of the cell vectors:
Al1 0.0000 0.0000 0.0000  8 Re 2.96
Re1 0.3984 0.3984 0.0000  1 Re 2.32, 4 Rh 2.56
Re2 0.6016 0.6016 0.0000  1 Re 2.32, 4 Rh 2.56
Rh1 0.2500 0.7500 0.5000  4 Re 2.56, 4 Rh 2.72
Rh2 0.7500 0.2500 0.5000  4 Re 2.56, 4 Rh 2.72

Summary:
Symmetry: No. 139
M_tot (μB/cell): 0.00
Energy relative to the lowest polymorph listed for this composition (meV per atom): 193.4
ΔH_f (0 K) (eV per atom): 0.35

[13]
Here is a relaxed structure of AlReRh2 from Alexandria. Energies are from GGA-PBE.

Lattice parameters (Å, degrees): 8.6714 8.6714 8.6714 18.46 18.46 18.46
With the nearest neighbours (Å) after each atom.
Sites, in units of the cell vectors:
Al1 0.0000 0.0000 0.0000  6 Rh 2.61, 6 Al 2.78
Re1 0.5000 0.5000 0.5000  6 Rh 2.73, 6 Re 2.78
Rh1 0.2528 0.2528 0.2528  3 Al 2.61, 3 Re 2.73, 6 Rh 2.78
Rh2 0.7472 0.7472 0.7472  3 Al 2.61, 3 Re 2.73, 6 Rh 2.78

Summary:
Symmetry: No. 166
M_tot (μB/cell): 0.00
ΔH_f (0 K) (eV per atom): -0.33

[14]
Here is a relaxed structure of TaAlReRh from Alexandria. Energies are from GGA-PBE.

Lattice parameters (Å, degrees): 4.4198 4.4198 4.4198 60.00 60.00 60.00
With the nearest neighbours (Å) after each atom.
Sites, in units of the cell vectors:
Ta1 0.0000 0.0000 0.0000  4 Re 2.71, 4 Rh 2.71
Al1 0.5000 0.5000 0.5000  4 Re 2.71, 4 Rh 2.71
Re1 0.7500 0.7500 0.7500  4 Al 2.71, 4 Ta 2.71
Rh1 0.2500 0.2500 0.2500  4 Al 2.71, 4 Ta 2.71

Summary:
Symmetry: No. 216
M_tot (μB/cell): 0.00
ΔH_f (0 K) (eV per atom): -0.55

[15]
Here is a relaxed structure of AlReTeRh2 from Alexandria. Energies are from GGA-PBE.

Lattice parameters (Å, degrees): 4.7884 4.7884 4.9765 90.00 90.00 90.00
With the nearest neighbours (Å) after each atom.
Sites, in units of the cell vectors:
Al1 0.0000 0.0000 0.0000  2 Te 2.49
Re1 0.5000 0.5000 0.0000  4 Al 3.39, 8 Rh 3.45
Te1 0.0000 0.0000 0.5000  4 Rh 2.39, 2 Al 2.49
Rh1 0.0000 0.5000 0.5000  2 Te 2.39
Rh2 0.5000 0.0000 0.5000  2 Te 2.39

Summary:
Symmetry: No. 123
M_tot (μB/cell): 3.62
ΔE_f (raw) (eV per atom): 1.7009

[16]
Here is a relaxed structure of TiAlReRh from Alexandria. Energies are from GGA-PBE.

Lattice parameters (Å, degrees): 4.3479 4.3479 4.3479 60.00 60.00 60.00
With the nearest neighbours (Å) after each atom.
Sites, in units of the cell vectors:
Ti1 0.0000 0.0000 0.0000  4 Rh 2.66, 4 Re 2.66
Al1 0.5000 0.5000 0.5000  4 Re 2.66, 4 Rh 2.66
Re1 0.2500 0.2500 0.2500  4 Al 2.66, 4 Ti 2.66
Rh1 0.7500 0.7500 0.7500  4 Al 2.66, 4 Ti 2.66

Summary:
Symmetry: No. 216
M_tot (μB/cell): 0.00
ΔH_f (0 K) (eV per atom): -0.58

[17]
Here is a relaxed structure of YAlRe2Rh from Alexandria. Energies are from GGA-PBE.

Lattice parameters (Å, degrees): 4.7564 4.7564 4.9754 90.00 90.00 90.00
With the nearest neighbours (Å) after each atom.
Sites, in units of the cell vectors:
Y1 0.0000 0.0000 0.0000  4 Re 2.38, 2 Al 2.49
Al1 0.0000 0.0000 0.5000  2 Y 2.49
Re1 0.0000 0.5000 0.0000  2 Y 2.38
Re2 0.5000 0.0000 0.0000  2 Y 2.38
Rh1 0.5000 0.5000 0.5000  4 Al 3.36, 8 Re 3.44

Summary:
Symmetry: No. 123
M_tot (μB/cell): 1.92
ΔH_f (0 K) (eV per atom): 2.73

[18]
Here is a relaxed structure of AlRe2Ru from Alexandria. Energies are from GGA-PBE.

Lattice parameters (Å, degrees): 2.9862 2.9862 6.4236 90.00 90.00 90.00
With the nearest neighbours (Å) after each atom.
Sites, in units of the cell vectors:
Al1 0.0000 0.0000 0.0000  4 Ru 2.58, 4 Re 2.67
Re1 0.0000 0.0000 0.5036  4 Re 2.65, 4 Ru 2.71
Re2 0.5000 0.5000 0.2545  4 Re 2.65, 4 Al 2.67
Ru1 0.5000 0.5000 0.7688  4 Al 2.58, 4 Re 2.71

Summary:
Symmetry: No. 99
M_tot (μB/cell): 0.00
ΔH_f (0 K) (eV per atom): -0.20

[19]
Here is a relaxed structure of AlRe4Ru from Alexandria. Energies are from GGA-PBE.

Lattice parameters (Å, degrees): 5.1371 5.1371 5.1371 60.00 60.00 60.00
With the nearest neighbours (Å) after each atom.
Sites, in units of the cell vectors:
Al1 0.0000 0.0000 0.0000  12 Re 3.01, 4 Ru 3.15
Re1 0.1229 0.6257 0.6257  6 Re 2.55-2.58
Re2 0.6257 0.1229 0.6257  6 Re 2.55-2.58
Re3 0.6257 0.6257 0.1229  6 Re 2.55-2.58
Re4 0.6257 0.6257 0.6257  6 Re 2.55-2.58
Ru1 0.2500 0.2500 0.2500  12 Re 3.01, 4 Al 3.15

Summary:
Symmetry: No. 216
M_tot (μB/cell): 0.00
ΔH_f (0 K) (eV per atom): 0.42

[20]
Here is a relaxed structure of Al2ReRu from Alexandria. Energies are from GGA-PBE.

Lattice parameters (Å, degrees): 3.0054 3.0054 6.1668 90.00 90.00 90.00
With the nearest neighbours (Å) after each atom.
Sites, in units of the cell vectors:
Al1 0.0000 0.0000 0.2352  4 Ru 2.57, 4 Re 2.68
Al2 0.0000 0.0000 0.7648  4 Ru 2.57, 4 Re 2.68
Re1 0.5000 0.5000 0.5000  8 Al 2.68
Ru1 0.5000 0.5000 0.0000  8 Al 2.57

Summary:
Symmetry: No. 123
M_tot (μB/cell): 0.00
ΔH_f (0 K) (eV per atom): -0.34